Compound: SrTa3Co
Source: Alexandria via LeMat-Bulk
Functional: PBE
Structure: relaxed

Unit cell a=4.8144 b=4.8144 c=4.8144 alpha=90.00 beta=90.00 gamma=90.00
Space group Pm-3m (No. 221)
Unique sites:
Sr  0.0000  0.0000  0.0000
Ta  0.0000  0.0000  0.5000
Co  0.5000  0.5000  0.5000

The value obtained for the polymorph energy (0 for the lowest one) is 2377 meV/atom. Its formation energy is 3.2406 eV/atom.

=====

Compound: OsO2
Source: Alexandria via LeMat-Bulk
Functional: PBE
Structure: relaxed

Unit cell a=4.9299 b=4.9299 c=4.9299 alpha=90.00 beta=90.00 gamma=90.00
Space group Pa-3 (No. 205)
Unique sites:
Os  0.0000  0.0000  0.0000
O  0.1512  0.6512  0.8488

The formation energy without anion corrections comes out at -797 meV per atom.

=====

Compound: YCoB
Source: Alexandria via LeMat-Bulk
Functional: PBE
Structure: relaxed

Unit cell a=3.4184 b=3.9057 c=6.5234 alpha=90.00 beta=90.00 gamma=90.00
Space group Pmma (No. 51)
Unique sites:
Y  0.2500  0.0000  0.2374
Co  0.2500  0.5000  0.6094
B  0.2500  0.5000  0.9326

The value obtained for the polymorph energy (0 for the lowest one) is 239 meV/atom. Its formation energy is -0.2537 eV/atom.

=====

Compound: Ni2Mo2Pt
Source: Alexandria via LeMat-Bulk
Functional: PBE
Structure: relaxed

Unit cell a=4.4939 b=6.5281 c=5.1632 alpha=90.00 beta=90.00 gamma=90.00
Space group Cmmm (No. 65)
Unique sites:
Ni  0.0000  0.1731  0.0000
Mo  0.0000  0.5000  0.2382
Pt  0.0000  0.0000  0.5000

The value obtained for the polymorph energy (0 for the lowest one) is 393 meV/atom. Its formation energy is 0.2596 eV/atom.

=====

For reference, total DFT energy (no corrections) by record: -28.143; -94.150; -42.017; -75.935 eV per cell.